No. 1
An optimized crystal structure of HfPPd2, computed with PBE.

Structure (extended XYZ):
```
8
Lattice="3.826 0.000 0.000 0.000 3.826 0.000 1.913 1.913 9.289" Properties=species:S:1:pos:R:3 pbc="T T T"
Pd 0.999 2.870 2.322
Pd 2.870 2.912 6.966
Pd 4.783 4.741 6.966
Pd 2.828 0.957 2.322
Hf 3.826 1.913 4.644
Hf 0.000 0.000 0.000
P 1.913 1.913 0.000
P 1.913 3.826 4.644
```

Output
Final energy = -56.2 eV for the cell shown
Energy relative to the elements = -586 meV/atom

---

No. 2
An optimized crystal structure of HfPPd3, computed with PBE.

Structure (extended XYZ):
```
5
Lattice="-3.037 -2.133 3.123 2.383 -4.189 -0.544 2.937 1.194 3.671" Properties=species:S:1:pos:R:3 pbc="T T T"
Pd 1.468 0.597 1.835
Pd 1.192 -2.095 -0.272
Pd -1.518 -1.067 1.562
P 1.142 -2.564 3.125
Hf 0.000 0.000 0.000
```

Output
Final energy = -26.6 eV for the cell shown
Energy relative to the elements = 877 meV/atom
E above lowest polymorph = 1091.1 meV per atom

---

No. 3
An optimized crystal structure of Hf2PPd2, computed with PBE.

Structure (extended XYZ):
```
10
Lattice="-0.521 5.547 -4.103 -6.259 -2.111 -2.060 -1.567 1.920 2.794" Properties=species:S:1:pos:R:3 pbc="T T T"
Pd -2.355 -0.022 -1.306
Pd -5.604 0.198 -3.279
Pd -4.425 3.457 -4.857
Pd -1.176 3.237 -2.884
Hf -3.276 4.864 -2.684
Hf -6.323 2.929 -3.063
Hf -5.070 0.491 -0.685
Hf -2.023 2.426 -0.306
P -3.390 1.718 -3.081
P 0.000 0.000 0.000
```

Output
Final energy = -76.8 eV for the cell shown
Energy relative to the elements = -536 meV/atom

---

No. 4
An optimized crystal structure of HfP2Pd, computed with PBE.

Structure (extended XYZ):
```
8
Lattice="-4.259 0.898 0.812 -1.201 -2.747 -3.258 -2.999 -6.679 3.728" Properties=species:S:1:pos:R:3 pbc="T T T"
Hf -4.993 -3.353 1.658
Hf 0.000 0.000 0.000
P -3.376 -1.491 0.997
P -6.974 -6.507 0.797
P -4.348 -5.822 1.737
P -2.218 -3.235 -0.968
Pd -2.730 -0.925 -1.223
Pd -3.464 -5.175 -0.377
```

Output
Final energy = -55.1 eV for the cell shown
Energy relative to the elements = -401 meV/atom
E above lowest polymorph = 71.9 meV per atom

---

No. 5
An optimized crystal structure of HfPPd6, computed with PBE.

Structure (extended XYZ):
```
8
Lattice="0.184 0.933 5.167 3.156 -4.200 0.010 3.583 3.473 -1.391" Properties=species:S:1:pos:R:3 pbc="T T T"
Pd 5.520 -0.200 1.076
Pd 2.547 -1.569 0.725
Pd 4.376 1.775 3.060
Pd 2.692 1.358 0.200
Pd 1.403 0.406 2.709
Pd 4.231 -1.152 3.585
Hf 0.000 0.000 0.000
P 3.462 0.103 1.893
```

Output
Final energy = -49.1 eV for the cell shown
Energy relative to the elements = -327 meV/atom

---

No. 6
An optimized crystal structure of Hf2PPd8, computed with PBE.

Structure (extended XYZ):
```
11
Lattice="4.625 0.000 0.000 0.000 5.671 -0.169 -2.313 -2.629 6.862" Properties=species:S:1:pos:R:3 pbc="T T T"
P 2.313 0.000 0.000
Pd 2.313 1.651 6.734
Pd 0.000 1.390 -0.041
Pd 0.000 -1.229 5.062
Pd 0.000 1.533 4.982
Pd 2.313 4.270 1.630
Pd 2.313 1.509 1.711
Pd 0.000 0.079 2.599
Pd 2.313 2.962 4.093
Hf 0.000 2.912 2.462
Hf 2.313 0.130 4.230
```

Output
Final energy = -74.7 eV for the cell shown
Energy relative to the elements = -712 meV/atom

---

No. 7
An optimized crystal structure of HfP2Pd, computed with PBE.

Structure (extended XYZ):
```
4
Lattice="0.000 3.158 3.158 3.158 0.000 3.158 3.158 3.158 0.000" Properties=species:S:1:pos:R:3 pbc="T T T"
Pd 0.000 0.000 0.000
P 4.737 4.737 4.737
P 1.579 1.579 1.579
Hf 3.158 3.158 3.158
```

Output
Final energy = -27.9 eV for the cell shown
Energy relative to the elements = -473 meV/atom
E above lowest polymorph = 0.0 meV per atom

---

No. 8
An optimized crystal structure of Hf4PPd, computed with PBE.

Structure (extended XYZ):
```
12
Lattice="-3.897 -5.034 -1.217 4.614 -0.493 -3.887 3.027 -0.941 7.040" Properties=species:S:1:pos:R:3 pbc="T T T"
Hf 1.167 -3.830 -3.251
Hf 2.577 -2.639 5.186
Hf -1.067 -4.545 3.177
Hf -1.868 -4.795 -1.759
Hf 0.520 -4.004 0.279
Hf 3.224 -2.465 1.657
Hf 4.811 -1.924 -1.241
Hf 5.612 -1.673 3.694
Pd 2.224 -2.481 -1.066
Pd 1.519 -3.988 3.001
P 5.404 -1.312 1.175
P -1.660 -5.157 0.761
```

Output
Final energy = -106.2 eV for the cell shown
Energy relative to the elements = -445 meV/atom

---

No. 9
An optimized crystal structure of HfP3Pd, computed with PBE.

Structure (extended XYZ):
```
5
Lattice="4.915 0.000 0.000 0.000 4.915 0.000 0.000 0.000 4.915" Properties=species:S:1:pos:R:3 pbc="T T T"
Hf 0.000 0.000 0.000
Pd 2.457 2.457 2.457
P 2.457 0.000 0.000
P 0.000 0.000 2.457
P 0.000 2.457 0.000
```

Output
Final energy = -28.4 eV for the cell shown
Energy relative to the elements = 586 meV/atom
E above lowest polymorph = 50.8 meV per atom

---

No. 10
An optimized crystal structure of HfP3Pd, computed with PBE.

Structure (extended XYZ):
```
5
Lattice="4.608 0.000 0.000 0.000 4.608 0.000 0.000 0.000 4.608" Properties=species:S:1:pos:R:3 pbc="T T T"
P 2.304 0.000 0.000
P 0.000 2.304 0.000
P 0.000 0.000 2.304
Pd 0.000 0.000 0.000
Hf 2.304 2.304 2.304
```

Output
Final energy = -28.7 eV for the cell shown
Energy relative to the elements = 535 meV/atom
E above lowest polymorph = 0.0 meV per atom

---

No. 11
An optimized crystal structure of HfPPd3, computed with PBE.

Structure (extended XYZ):
```
5
Lattice="4.488 0.000 0.000 0.000 4.488 0.000 0.000 0.000 4.488" Properties=species:S:1:pos:R:3 pbc="T T T"
Hf 2.244 2.244 2.244
P 0.000 0.000 0.000
Pd 0.000 0.000 2.244
Pd 0.000 2.244 0.000
Pd 2.244 0.000 0.000
```

Output
Final energy = -32.0 eV for the cell shown
Energy relative to the elements = -214 meV/atom
E above lowest polymorph = 0.0 meV per atom

---

No. 12
An optimized crystal structure of HfPPdS2, computed with PBE.

Structure (extended XYZ):
```
5
Lattice="4.576 0.000 0.000 0.000 4.576 0.000 0.000 0.000 4.671" Properties=species:S:1:pos:R:3 pbc="T T T"
S 0.000 2.288 0.000
S 2.288 0.000 0.000
Pd 0.000 0.000 0.000
Hf 2.288 2.288 2.336
P 0.000 0.000 2.336
```

Output
Final energy = -27.4 eV for the cell shown
Energy relative to the elements, uncorrected = 6.46 kcal/mol of atoms
E above lowest polymorph = 174.1 meV per atom